(1)
The following is a PBE calculation of a relaxed structure of Na2SnGeH, from the Alexandria database.

Cell lengths 4.3474, 4.3474, 5.0599 Å; angles 90.00, 90.00, 90.00 degrees
With the nearest neighbours (Å) after each atom.
Space group P4/mmm (No. 123)
Symmetry-distinct sites (fractional):
Na 0.0000 0.5000 0.0000 x2  2 H 2.17
Sn 0.0000 0.0000 0.5000 x1  2 H 2.53
Ge 0.5000 0.5000 0.5000 x1  4 Sn 3.07, 8 Na 3.34
H 0.0000 0.0000 0.0000 x1  4 Na 2.17

Output
N(E_F) in states/eV/f.u.: 0.804
Offset from the most stable computed form in eV per formula unit: 0.00
Calculated volume in Å³ per atom: 19.13
VASP energy in Ha/atom: -0.10758

(2)
The following is a PBE calculation of a relaxed structure of Na2SrGeH, from the Alexandria database.

Cell lengths 4.6902, 4.6902, 5.1916 Å; angles 90.00, 90.00, 90.00 degrees
With the nearest neighbours (Å) after each atom.
Space group P4/mmm (No. 123)
Symmetry-distinct sites (fractional):
Na 0.0000 0.5000 0.0000 x2  2 H 2.35
Sr 0.0000 0.0000 0.5000 x1  2 H 2.60
Ge 0.5000 0.5000 0.5000 x1  4 Sr 3.32, 8 Na 3.50
H 0.0000 0.0000 0.0000 x1  4 Na 2.35, 2 Sr 2.60

Output
N(E_F) in states/eV/f.u.: 3.783
Calculated volume in Å³ per atom: 22.84
VASP energy in Ha/atom: -0.09847

- What is the formula in the second record?
  Na2SrGeH

- Among the records above, which one has the lowest VASP energy?
  Na2SnGeH